DFT (GGA-PBE) results for a relaxed structure of Y5IrRh2.

```
Y5IrRh2
1.0
7.614 0.000 0.000
0.000 12.237 0.000
0.000 0.000 4.215
Y Ir Rh
10 2 4
Cartesian
0.000 0.000 0.000 Y
1.269 3.630 0.000 Y
1.316 7.289 2.107 Y
2.491 1.171 2.107 Y
2.538 9.748 0.000 Y
3.807 6.118 0.000 Y
5.076 2.488 0.000 Y
5.122 11.066 2.107 Y
6.298 4.947 2.107 Y
6.345 8.607 0.000 Y
0.000 6.118 0.000 Ir
3.807 0.000 0.000 Ir
0.229 10.120 2.107 Rh
3.578 4.002 2.107 Rh
4.036 8.235 2.107 Rh
7.385 2.117 2.107 Rh
```

Calculated values
Crystal system = orthorhombic
M_tot = 0.0000 μB per atom
Calculated total energy = -7.67 eV/atom
D(E_F) = 0.573 states/eV/atom